Record 1
The following is a DFT calculation (PBE) of a relaxed LiCaSN crystal.

Properties
- Total DFT energy (no corrections): -4.901 eV/atom
- Calculated volume: 15.2 A^3/atom
- ΔE to the lowest computed polymorph: 20 meV/atom
- Raw formation energy: -0.81 eV per atom

Cell: 6.849 3.738 4.766 Å, 90.00 94.92 90.00°
Space group Cm (No. 8)
One atom of each set of equivalent atoms:
1 Li 0.000 0.000 0.000 [2 per cell]
2 Ca 0.186 0.500 0.569 [2 per cell]
3 S 0.334 0.000 0.166 [2 per cell]
4 N 0.381 0.000 0.800 [2 per cell]

=====

Record 2
The following is a DFT calculation (PBE) of a relaxed LiCaSc2N crystal.

Properties
- Total DFT energy (no corrections): -5.546 eV/atom
- Calculated volume: 20.4 A^3/atom
- Density of states at the Fermi level: 4.2 states/eV/f.u.
- Raw formation energy: -0.57 eV per atom

Cell: 4.399 4.399 5.278 Å, 90.00 90.00 90.00°
Space group P4/mmm (No. 123)
One atom of each set of equivalent atoms:
1 Li 0.000 0.000 0.000 [1 per cell]
2 Ca 0.500 0.500 0.000 [1 per cell]
3 Sc 0.000 0.500 0.500 [2 per cell]
4 N 0.500 0.500 0.500 [1 per cell]

=====

Record 3
The following is a DFT calculation (PBE) of a relaxed LiCaSeN2 crystal.

Properties
- Total DFT energy (no corrections): -3.896 eV/atom
- Calculated volume: 25.0 A^3/atom
- Density of states at the Fermi level: 3.4 states/eV/f.u.
- ΔE to the lowest computed polymorph: 181 meV/atom
- Raw formation energy: 0.91 eV per atom

Cell: 4.646 4.646 5.798 Å, 90.00 90.00 90.00°
Space group P4/mmm (No. 123)
One atom of each set of equivalent atoms:
1 Li 0.000 0.000 0.000 [1 per cell]
2 Ca 0.500 0.500 0.500 [1 per cell]
3 Se 0.500 0.500 0.000 [1 per cell]
4 N 0.000 0.500 0.500 [2 per cell]

=====

Record 4
The following is a DFT calculation (PBE) of a relaxed LiCa2SeN crystal.

Properties
- Total DFT energy (no corrections): -4.755 eV/atom
- Calculated volume: 18.8 A^3/atom
- Raw formation energy: -1.21 eV per atom

Cell: 4.824 4.824 4.043 Å, 90.00 90.00 90.00°
Space group P4/mmm (No. 123)
One atom of each set of equivalent atoms:
1 Li 0.000 0.000 0.000 [1 per cell]
2 Ca 0.000 0.500 0.500 [2 per cell]
3 Se 0.500 0.500 0.000 [1 per cell]
4 N 0.000 0.000 0.500 [1 per cell]

=====

Record 5
The following is a DFT calculation (PBE) of a relaxed LiCaSeN2 crystal.

Properties
- Total DFT energy (no corrections): -4.077 eV/atom
- Calculated volume: 14.7 A^3/atom
- Density of states at the Fermi level: 3.5 states/eV/f.u.
- ΔE to the lowest computed polymorph: 0 meV/atom
- Raw formation energy: 0.73 eV per atom

Cell: 4.018 4.018 4.538 Å, 90.00 90.00 90.00°
Space group P4/mmm (No. 123)
One atom of each set of equivalent atoms:
1 Li 0.000 0.000 0.000 [1 per cell]
2 Ca 0.500 0.500 0.500 [1 per cell]
3 Se 0.000 0.000 0.500 [1 per cell]
4 N 0.000 0.500 0.000 [2 per cell]

=====

Record 6
The following is a DFT calculation (PBE) of a relaxed Li4Ca3Si2N6 crystal.

Properties
- Total DFT energy (no corrections): -5.953 eV/atom
- Calculated volume: 11.4 A^3/atom
- Density of states at the Fermi level: 0.0 states/eV/f.u.
- Raw formation energy: -0.99 eV per atom

Cell: 5.824 9.781 6.005 Å, 90.00 90.46 90.00°
Space group C2/m (No. 12)
One atom of each set of equivalent atoms:
1 Li 0.139 0.175 0.373 [8 per cell]
2 Ca 0.000 0.315 0.000 [4 per cell]
3 Ca 0.000 0.500 0.500 [2 per cell]
4 Si 0.119 0.000 0.831 [4 per cell]
5 N 0.192 0.000 0.133 [4 per cell]
6 N 0.216 0.149 0.710 [8 per cell]